No. 1
Density functional theory data (PBE) for ScGeRh2O after structural relaxation.

a b c (Å): 4.615 4.615 5.211
angles (deg): 90.00 90.00 90.00
Space group P4/mmm (No. 123)
Inequivalent atoms, fractional coordinates:
Sc: 0.000 0.000 0.000 x1
Ge: 0.000 0.000 0.500 x1
Rh: 0.000 0.500 0.000 x2
O: 0.500 0.500 0.500 x1

Summary:
N(E_F) = 1.25 states/eV per atom
formation energy (no corrections) = 1.2370 eV/atom
density = 5.08 g cm⁻³



No. 2
Density functional theory data (PBE) for PrEr7In4 after structural relaxation.

a b c (Å): 14.395 5.637 10.489
angles (deg): 90.00 123.97 90.00
Space group C2/m (No. 12)
Inequivalent atoms, fractional coordinates:
Pr: 0.000 0.000 0.000 x2
Er: 0.000 0.500 0.000 x2
Er: 0.064 0.000 0.396 x4
Er: 0.212 0.000 0.875 x4
Er: 0.215 0.500 0.654 x4
In: 0.062 0.500 0.762 x4
In: 0.182 0.500 0.333 x4

Summary:
N(E_F) = 0.97 states/eV per atom
formation energy = -0.087 eV per atom
density = 8.33 g cm⁻³



No. 3
Density functional theory data (PBE) for CuMoAu2 after structural relaxation.

a b c (Å): 2.8891 2.8891 26.7505
angles (deg): 90.00 90.00 120.00
Space group R-3m (No. 166, hexagonal axes)
Inequivalent atoms, fractional coordinates:
Cu: 0.0000 0.0000 0.0000 x3
Mo: 0.0000 0.0000 0.5000 x3
Au: 0.0000 0.0000 0.2535 x6

Summary:
N(E_F) = 0.71 states/eV per atom
formation energy = 0.224 eV per atom
density = 14.26 g cm⁻³
ΔE to the lowest computed polymorph = 95.7 meV/atom



No. 4
Density functional theory data (PBE) for Cs6K8In after structural relaxation.

a b c (Å): 13.2243 13.2243 24.9051
angles (deg): 90.00 90.00 120.00
Space group R-3 (No. 148, hexagonal axes)
Inequivalent atoms, fractional coordinates:
Cs: 0.0249 0.7832 0.4100 x18
K: 0.0000 0.0000 0.2362 x6
K: 0.0526 0.8171 0.9120 x18
In: 0.0000 0.0000 0.0000 x3

Summary:
N(E_F) = 1.08 states/eV per atom
formation energy = 0.022 eV per atom
density = 1.62 g cm⁻³